## AlReMo4 (meta-GGA SCAN)

Data for a crystal of AlReMo4 relaxed with PBEsol.

Cell lengths 5.0998, 5.0998, 5.0998 Å; angles 60.00, 60.00, 60.00 degrees
Last column: nearest neighbours and their distance in Å.
Sites, in units of the cell vectors:
Mo: 0.3742 0.3742 0.3742  6 Mo 2.53-2.57
Mo: 0.3742 0.3742 0.8774  6 Mo 2.53-2.57
Mo: 0.8774 0.3742 0.3742  6 Mo 2.53-2.57
Re: 0.7500 0.7500 0.7500  12 Mo 2.99, 4 Al 3.12
Al: 0.0000 0.0000 0.0000  12 Mo 2.99, 4 Re 3.12
Mo: 0.3742 0.8774 0.3742  6 Mo 2.53-2.57

## Properties
For the density of states at the Fermi level, the calculation gives 0.84 states/eV/atom. The value obtained for the formation energy is 0.264 eV per atom.



## CaAl2PdC (meta-GGA SCAN)

Data for a crystal of CaAl2PdC relaxed with PBEsol.

Cell lengths 4.0490, 4.0490, 4.8847 Å; angles 90.00, 90.00, 90.00 degrees
Last column: nearest neighbours and their distance in Å.
Sites, in units of the cell vectors:
C: 0.0000 0.0000 0.0000  4 Al 2.02
Ca: 0.5000 0.5000 0.5000  4 Pd 2.86, 8 Al 3.17
Al: 0.5000 0.0000 0.0000  2 C 2.02
Pd: 0.0000 0.0000 0.5000  2 C 2.44
Al: 0.0000 0.5000 0.0000  2 C 2.02

## Properties
For the density of states at the Fermi level, the calculation gives 0.33 states/eV/atom. The value obtained for the formation energy is 0.161 eV per atom.



## MgCl2 (meta-GGA SCAN)

Data for a crystal of MgCl2 relaxed with PBEsol.

Cell lengths 3.6077, 5.0650, 8.6548 Å; angles 90.00, 102.03, 90.00 degrees
Last column: nearest neighbours and their distance in Å.
Sites, in units of the cell vectors:
Mg: 0.3233 0.7500 0.6467  6 Cl 2.35-2.63
Cl: 0.2894 0.2500 0.5789  4 Mg 2.60-2.63
Cl: 0.9125 0.7500 0.8249  2 Mg 2.35
Mg: 0.6767 0.2500 0.3533  6 Cl 2.35-2.63
Cl: 0.0875 0.2500 0.1751  2 Mg 2.35
Cl: 0.7106 0.7500 0.4211  4 Mg 2.60-2.63

## Properties
For the density of states at the Fermi level, the calculation gives 0.00 states/eV/atom. The uncorrected formation energy comes out at -46.416 kcal/mol of atoms.



## MgCr2Os (meta-GGA SCAN)

Data for a crystal of MgCr2Os relaxed with PBEsol.

Cell lengths 2.6759, 2.6759, 9.0106 Å; angles 81.46, 81.46, 60.00 degrees
Last column: nearest neighbours and their distance in Å.
Sites, in units of the cell vectors:
Cr: 0.7443 0.7443 0.7672  3 Os 2.58, 6 Cr 2.68, 3 Mg 2.83
Os: 0.0000 0.0000 0.0000  6 Cr 2.58, 6 Os 2.68
Mg: 0.5000 0.5000 0.5000  6 Mg 2.68, 6 Cr 2.83
Cr: 0.2557 0.2557 0.2328  3 Os 2.58, 6 Cr 2.68, 3 Mg 2.83

## Properties
For the density of states at the Fermi level, the calculation gives 0.93 states/eV/atom. The value obtained for the formation energy is 0.449 eV per atom.



## ZrCdCl2 (meta-GGA SCAN)

Data for a crystal of ZrCdCl2 relaxed with PBEsol.

Cell lengths 3.1584, 5.1474, 5.1474 Å; angles 107.15, 90.00, 90.00 degrees
Last column: nearest neighbours and their distance in Å.
Sites, in units of the cell vectors:
Cl: 0.0000 0.5000 0.0000  4 Zr 3.02, 4 Cd 3.02, 4 Cl 3.06-3.16
Cl: 0.0000 0.0000 0.5000  4 Cd 3.02, 4 Zr 3.02, 4 Cl 3.06-3.16
Cd: 0.5000 0.5000 0.5000  8 Cl 3.02, 2 Zr 3.06, 2 Cd 3.16
Zr: 0.5000 0.0000 0.0000  8 Cl 3.02, 2 Cd 3.06, 2 Zr 3.16

## Properties
As for the energy above the most stable polymorph in this dataset: 0.225 eV/atom. For the density of states at the Fermi level, the calculation gives 0.49 states/eV/atom. The uncorrected formation energy comes out at -10.116 kcal/mol of atoms.



## LaScCr2 (meta-GGA SCAN)

Data for a crystal of LaScCr2 relaxed with PBEsol.

Cell lengths 4.8462, 4.8462, 4.8462 Å; angles 60.00, 60.00, 60.00 degrees
Last column: nearest neighbours and their distance in Å.
Sites, in units of the cell vectors:
Cr: 0.7500 0.7500 0.7500  4 La 2.97, 4 Sc 2.97
Cr: 0.2500 0.2500 0.2500  4 La 2.97, 4 Sc 2.97
Sc: 0.0000 0.0000 0.0000  8 Cr 2.97
La: 0.5000 0.5000 0.5000  8 Cr 2.97

## Properties
For the density of states at the Fermi level, the calculation gives 0.73 states/eV/atom. The value obtained for the formation energy is 0.269 eV per atom.



## Ag2AsS2 (meta-GGA SCAN)

Data for a crystal of Ag2AsS2 relaxed with PBEsol.

Cell lengths 6.7257, 9.5466, 12.7698 Å; angles 90.00, 90.00, 99.61 degrees
Last column: nearest neighbours and their distance in Å.
Sites, in units of the cell vectors:
Ag: 0.8717 0.6441 0.1054  3 S 2.48-2.62, 1 As 2.73
Ag: 0.8708 0.3034 0.9033  4 S 2.53-2.61
S: 0.6072 0.2696 0.2463  1 As 2.25, 2 Ag 2.37-2.46
Ag: 0.3508 0.1645 0.4969  2 S 2.39-2.41
Ag: 0.7752 0.9621 0.0995  4 S 2.52-2.70
Ag: 0.5861 0.7626 0.6010  4 S 2.49-2.59
S: 0.0942 0.1544 0.3660  1 As 2.30, 3 Ag 2.39-2.47
S: 0.0010 0.2020 0.0751  1 As 2.27, 1 Ag 2.53
Ag: 0.1053 0.4288 0.6020  3 S 2.44-2.58, 1 As 2.71
S: 0.4881 0.4913 0.5701  1 As 2.25, 1 Ag 2.44
As: 0.1635 0.3873 0.3112  2 S 2.25-2.30, 1 As 2.52
S: 0.5010 0.2020 0.9249  1 As 2.27, 1 Ag 2.53
Ag: 0.1025 0.0443 0.6752  2 S 2.37-2.40
Ag: 0.3717 0.6441 0.8946  3 S 2.48-2.62, 1 As 2.73
S: 0.3960 0.9095 0.0962  1 As 2.27, 2 Ag 2.42-2.52
Ag: 0.8508 0.1645 0.5031  2 S 2.39-2.41
As: 0.3080 0.6911 0.1693  2 S 2.25-2.27
S: 0.4554 0.8406 0.4248  1 As 2.27, 2 Ag 2.40-2.49
As: 0.5624 0.6823 0.3140  2 S 2.27-2.28, 1 As 2.53
As: 0.8969 0.3758 0.1715  2 S 2.25-2.27, 1 As 2.52
Ag: 0.6053 0.4288 0.3980  3 S 2.44-2.58, 1 As 2.71
S: 0.8960 0.9095 0.9038  1 As 2.27, 2 Ag 2.42-2.52
Ag: 0.0861 0.7626 0.3990  4 S 2.49-2.59
Ag: 0.6025 0.0443 0.3248  2 S 2.37-2.40
S: 0.8555 0.8100 0.2530  1 As 2.28, 2 Ag 2.48-2.51
As: 0.3969 0.3758 0.8285  2 S 2.25-2.27, 1 As 2.52
S: 0.9881 0.4913 0.4299  1 As 2.25, 1 Ag 2.44
S: 0.5942 0.1544 0.6340  1 As 2.30, 3 Ag 2.39-2.47
S: 0.3555 0.8100 0.7470  1 As 2.28, 2 Ag 2.48-2.51
S: 0.1072 0.2696 0.7537  1 As 2.25, 2 Ag 2.37-2.46
S: 0.9554 0.8406 0.5752  1 As 2.27, 2 Ag 2.40-2.49
Ag: 0.3708 0.3034 0.0967  4 S 2.53-2.61
Ag: 0.1933 0.0368 0.2061  2 S 2.42-2.47
Ag: 0.2752 0.9621 0.9005  4 S 2.52-2.70
S: 0.9871 0.5671 0.9338  1 As 2.25, 1 Ag 2.48
S: 0.4871 0.5671 0.0662  1 As 2.25, 1 Ag 2.48
As: 0.6635 0.3873 0.6888  2 S 2.25-2.30, 1 As 2.52
As: 0.8080 0.6911 0.8307  2 S 2.25-2.27
Ag: 0.6933 0.0368 0.7939  2 S 2.42-2.47
As: 0.0624 0.6823 0.6860  2 S 2.27-2.28, 1 As 2.53

## Properties
The uncorrected formation energy comes out at -3.363 kcal/mol of atoms.



## Sb2PBr (meta-GGA SCAN)

Data for a crystal of Sb2PBr relaxed with PBEsol.

Cell lengths 3.1605, 3.8069, 8.4904 Å; angles 90.00, 90.09, 90.00 degrees
Last column: nearest neighbours and their distance in Å.
Sites, in units of the cell vectors:
Br: 0.0000 0.5000 0.5000  4 Sb 3.02, 2 Br 3.16
Sb: 0.0012 0.0000 0.2241  2 P 2.69
Sb: 0.9988 0.0000 0.7759  2 P 2.69
P: 0.0000 0.5000 0.0000  4 Sb 2.69

## Properties
As for the energy above the most stable polymorph in this dataset: 0.017 eV/atom. For the density of states at the Fermi level, the calculation gives 0.44 states/eV/atom. The uncorrected formation energy comes out at 3.700 kcal/mol of atoms.



## FeAgS2 (meta-GGA SCAN)

Data for a crystal of FeAgS2 relaxed with PBEsol.

Cell lengths 3.3175, 3.3175, 6.8790 Å; angles 76.05, 76.05, 60.00 degrees
Last column: nearest neighbours and their distance in Å.
Sites, in units of the cell vectors:
Ag: 0.1556 0.1556 0.5331  4 S 2.39-2.67
S: 0.2762 0.2762 0.1713  3 Fe 2.23, 1 Ag 2.39
S: 0.7286 0.7286 0.8143  3 Fe 2.26
Fe: 0.0010 0.0010 0.9970  6 S 2.23-2.26

## Properties
For the density of states at the Fermi level, the calculation gives 1.02 states/eV/atom. The uncorrected formation energy comes out at -5.919 kcal/mol of atoms.



## Mg2Au (meta-GGA SCAN)

Data for a crystal of Mg2Au relaxed with PBEsol.

Cell lengths 4.0867, 4.0867, 13.3831 Å; angles 98.78, 98.78, 90.00 degrees
Last column: nearest neighbours and their distance in Å.
Sites, in units of the cell vectors:
Au: 0.1705 0.6705 0.3410  10 Mg 2.90-3.00, 2 Au 3.14
Au: 0.0795 0.0795 0.1590  10 Mg 2.90-3.00, 2 Au 3.14
Au: 0.3295 0.8295 0.6590  10 Mg 2.90-3.00, 2 Au 3.14
Mg: 0.5865 0.5865 0.1730  6 Mg 2.87-3.05, 6 Au 2.90-3.00
Mg: 0.6635 0.1635 0.3270  6 Mg 2.87-3.05, 6 Au 2.90-3.00
Mg: 0.5002 0.0002 0.0005  8 Mg 2.89-3.05, 4 Au 2.91-2.92
Mg: 0.8365 0.3365 0.6730  6 Mg 2.87-3.05, 6 Au 2.90-3.00
Mg: 0.9998 0.4998 0.9995  8 Mg 2.89-3.05, 4 Au 2.91-2.92
Mg: 0.4135 0.4135 0.8270  6 Mg 2.87-3.05, 6 Au 2.90-3.00
Mg: 0.2502 0.2502 0.5005  8 Mg 2.89-3.05, 4 Au 2.91-2.92
Mg: 0.7498 0.7498 0.4995  8 Mg 2.89-3.05, 4 Au 2.91-2.92
Au: 0.9205 0.9205 0.8410  10 Mg 2.90-3.00, 2 Au 3.14

## Properties
For the density of states at the Fermi level, the calculation gives 0.31 states/eV/atom. The value obtained for the formation energy is -0.553 eV per atom.



## YSc2Ga2 (meta-GGA SCAN)

Data for a crystal of YSc2Ga2 relaxed with PBEsol.

Cell lengths 4.2193, 4.2193, 6.7739 Å; angles 108.15, 108.15, 90.00 degrees
Last column: nearest neighbours and their distance in Å.
Sites, in units of the cell vectors:
Ga: 0.5992 0.5992 0.1984  1 Ga 2.41
Y: 0.0000 0.0000 0.0000  8 Ga 3.22
Sc: 0.7500 0.2500 0.5000  4 Ga 2.80, 4 Sc 2.98
Ga: 0.4008 0.4008 0.8016  1 Ga 2.41
Sc: 0.2500 0.7500 0.5000  4 Ga 2.80, 4 Sc 2.98

## Properties
For the density of states at the Fermi level, the calculation gives 0.71 states/eV/atom. The value obtained for the formation energy is -0.576 eV per atom.